Material: Y2UTl2Te6
Method: DFT, PBE-GGA
State: optimized geometry

a b c (Å): 7.6282 7.6282 8.6470
angles (deg): 98.58 98.58 120.07
Sites, in units of the cell vectors:
U1 0.0000 0.0000 0.5000
Y1 0.6678 0.3322 0.5000
Y2 0.3322 0.6678 0.5000
Te1 0.4020 0.0735 0.7134
Te2 0.9265 0.5980 0.2866
Te3 0.5980 0.9265 0.2866
Te4 0.2596 0.2596 0.2872
Te5 0.0735 0.4020 0.7134
Te6 0.7404 0.7404 0.7128
Tl1 0.1670 0.8330 0.0000
Tl2 0.8330 0.1670 0.0000

Computed properties:
E_form (uncorrected): -91 kJ per mole of atoms